1.
This record from Alexandria describes crystalline CaPOs2 at its relaxed geometry. The functional is GGA-PBE.

Cell: 3.115 3.115 24.098 Å, 90.00 90.00 120.00°
Positions (direct):
Ca 0.000 0.000 0.000
Ca 0.333 0.667 0.667
Ca 0.667 0.333 0.333
P 0.000 0.000 0.500
P 0.333 0.667 0.167
P 0.667 0.333 0.833
Os 0.000 0.000 0.231
Os 0.000 0.000 0.769
Os 0.333 0.667 0.436
Os 0.333 0.667 0.898
Os 0.667 0.333 0.102
Os 0.667 0.333 0.564

Results
The total DFT energy (no corrections) is -85.45 eV/cell. Its energy relative to the elements is 0.35 eV per atom. As for the density of states at the Fermi level: 2.50 states/eV/f.u.

2.
This record from Alexandria describes crystalline Rb2BaLaBr6 at its relaxed geometry. The functional is GGA-PBE.

Cell: 8.707 8.707 8.707 Å, 60.00 60.00 60.00°
Positions (direct):
Rb 0.250 0.250 0.250
Rb 0.750 0.750 0.750
Ba 0.000 0.000 0.000
La 0.500 0.500 0.500
Br 0.258 0.258 0.742
Br 0.258 0.742 0.258
Br 0.258 0.742 0.742
Br 0.742 0.258 0.258
Br 0.742 0.258 0.742
Br 0.742 0.742 0.258

Results
The total DFT energy (no corrections) is -36.50 eV/cell. As for the density of states at the Fermi level: 15.00 states/eV/f.u. The uncorrected formation energy is -1.77 eV/atom.

3.
This record from Alexandria describes crystalline La6PmPb at its relaxed geometry. The functional is GGA-PBE.

Cell: 6.556 6.564 6.565 Å, 89.95 89.99 89.94°
Positions (direct):
La 0.000 0.000 0.239
La 0.000 0.000 0.761
La 0.239 0.501 0.500
La 0.500 0.261 0.000
La 0.500 0.739 0.000
La 0.761 0.499 0.500
Pm 0.500 0.000 0.500
Pb 0.000 0.500 0.000

Results
The total DFT energy (no corrections) is -38.77 eV/cell. Its energy relative to the elements is -0.09 eV per atom. As for the density of states at the Fermi level: 13.18 states/eV/f.u. Its excess energy over the best structure of this formula in the dataset is 0.074 eV/atom.

4.
This record from Alexandria describes crystalline MnCdHN at its relaxed geometry. The functional is GGA-PBE.

Cell: 2.843 2.843 12.995 Å, 90.00 90.00 90.00°
Positions (direct):
Mn 0.000 0.000 0.000
Mn 0.500 0.500 0.500
Cd 0.000 0.000 0.693
Cd 0.500 0.500 0.193
H 0.000 0.000 0.387
H 0.500 0.500 0.887
N 0.000 0.000 0.468
N 0.500 0.500 0.968

Results
The total DFT energy (no corrections) is -43.29 eV/cell. As for the density of states at the Fermi level: 1.77 states/eV/f.u. Its excess energy over the best structure of this formula in the dataset is 0.073 eV/atom.

5.
This record from Alexandria describes crystalline Ba2Ag4Pb5 at its relaxed geometry. The functional is GGA-PBE.

Cell: 7.723 7.723 9.791 Å, 129.33 129.33 51.45°
Positions (direct):
Ba 0.218 0.218 0.218
Ba 0.782 0.782 0.782
Ag 0.244 0.244 0.594
Ag 0.244 0.244 0.896
Ag 0.756 0.756 0.104
Ag 0.756 0.756 0.406
Pb 0.252 0.748 0.303
Pb 0.252 0.748 0.697
Pb 0.500 0.500 0.000
Pb 0.748 0.252 0.303
Pb 0.748 0.252 0.697

Results
The total DFT energy (no corrections) is -35.87 eV/cell. Its energy relative to the elements is -0.19 eV per atom. As for the density of states at the Fermi level: 4.60 states/eV/f.u.

6.
This record from Alexandria describes crystalline Sc12Cu6Ag at its relaxed geometry. The functional is GGA-PBE.

Cell: 7.907 7.907 7.907 Å, 109.47 109.47 109.47°
Positions (direct):
Sc 0.100 0.813 0.288
Sc 0.187 0.288 0.475
Sc 0.187 0.712 0.900
Sc 0.288 0.100 0.813
Sc 0.288 0.475 0.187
Sc 0.475 0.187 0.288
Sc 0.525 0.813 0.712
Sc 0.712 0.525 0.813
Sc 0.712 0.900 0.187
Sc 0.813 0.288 0.100
Sc 0.813 0.712 0.525
Sc 0.900 0.187 0.712
Cu 0.131 0.631 0.500
Cu 0.369 0.500 0.869
Cu 0.500 0.131 0.631
Cu 0.500 0.869 0.369
Cu 0.631 0.500 0.131
Cu 0.869 0.369 0.500
Ag 0.000 0.000 0.000

Results
The total DFT energy (no corrections) is -106.57 eV/cell. Its energy relative to the elements is -0.17 eV per atom. As for the density of states at the Fermi level: 21.50 states/eV/f.u.

7.
This record from Alexandria describes crystalline ScCuOs2 at its relaxed geometry. The functional is GGA-PBE.

Cell: 3.030 4.545 8.713 Å, 90.00 90.00 90.00°
Positions (direct):
Sc 0.000 0.000 0.000
Sc 0.500 0.500 0.000
Cu 0.000 0.000 0.500
Cu 0.500 0.500 0.500
Os 0.000 0.500 0.256
Os 0.000 0.500 0.744
Os 0.500 0.000 0.256
Os 0.500 0.000 0.744

Results
The total DFT energy (no corrections) is -63.88 eV/cell. Its energy relative to the elements is 0.24 eV per atom. As for the density of states at the Fermi level: 3.54 states/eV/f.u. Its excess energy over the best structure of this formula in the dataset is 0.262 eV/atom.

8.
This record from Alexandria describes crystalline Sr2MnSbMo at its relaxed geometry. The functional is GGA-PBE.

Cell: 6.022 6.022 4.442 Å, 90.00 90.00 90.00°
Positions (direct):
Sr 0.000 0.500 0.000
Sr 0.500 0.000 0.000
Mn 0.000 0.000 0.500
Sb 0.500 0.500 0.500
Mo 0.000 0.000 0.000

Results
The total DFT energy (no corrections) is -23.50 eV/cell. As for the density of states at the Fermi level: 6.71 states/eV/f.u. The uncorrected formation energy is 0.80 eV/atom.

9.
This record from Alexandria describes crystalline Ce2UIn at its relaxed geometry. The functional is GGA-PBE.

Cell: 4.821 4.821 4.516 Å, 90.00 90.00 90.00°
Positions (direct):
Ce 0.000 0.500 0.000
Ce 0.500 0.000 0.000
U 0.000 0.000 0.500
In 0.500 0.500 0.500

Results
The total DFT energy (no corrections) is -25.64 eV/cell. Its energy relative to the elements is 0.06 eV per atom. As for the density of states at the Fermi level: 12.72 states/eV/f.u. Its excess energy over the best structure of this formula in the dataset is 0.093 eV/atom.

10.
This record from Alexandria describes crystalline AcHoMgSc at its relaxed geometry. The functional is GGA-PBE.

Cell: 7.896 7.896 7.896 Å, 90.00 90.00 90.00°
Positions (direct):
Ac 0.000 0.000 0.000
Ac 0.000 0.500 0.500
Ac 0.500 0.000 0.500
Ac 0.500 0.500 0.000
Ho 0.000 0.000 0.500
Ho 0.000 0.500 0.000
Ho 0.500 0.000 0.000
Ho 0.500 0.500 0.500
Mg 0.250 0.250 0.750
Mg 0.250 0.750 0.250
Mg 0.750 0.250 0.250
Mg 0.750 0.750 0.750
Sc 0.250 0.250 0.250
Sc 0.250 0.750 0.750
Sc 0.750 0.250 0.750
Sc 0.750 0.750 0.250

Results
The total DFT energy (no corrections) is -65.44 eV/cell. Its energy relative to the elements is 0.06 eV per atom. As for the density of states at the Fermi level: 5.08 states/eV/f.u.

11.
This record from Alexandria describes crystalline Zr2NpTc at its relaxed geometry. The functional is GGA-PBE.

Cell: 6.827 6.827 6.827 Å, 90.00 90.00 90.00°
Positions (direct):
Zr 0.250 0.250 0.250
Zr 0.250 0.250 0.750
Zr 0.250 0.750 0.250
Zr 0.250 0.750 0.750
Zr 0.750 0.250 0.250
Zr 0.750 0.250 0.750
Zr 0.750 0.750 0.250
Zr 0.750 0.750 0.750
Np 0.000 0.000 0.000
Np 0.000 0.500 0.500
Np 0.500 0.000 0.500
Np 0.500 0.500 0.000
Tc 0.000 0.000 0.500
Tc 0.000 0.500 0.000
Tc 0.500 0.000 0.000
Tc 0.500 0.500 0.500

Results
The total DFT energy (no corrections) is -157.81 eV/cell. Its energy relative to the elements is 0.24 eV per atom. As for the density of states at the Fermi level: 11.71 states/eV/f.u. Its excess energy over the best structure of this formula in the dataset is 0.201 eV/atom.

12.
This record from Alexandria describes crystalline Tb4PPbS2 at its relaxed geometry. The functional is GGA-PBE.

Cell: 7.093 4.045 7.193 Å, 90.00 109.26 90.00°
Positions (direct):
Tb 0.235 0.000 0.228
Tb 0.249 0.500 0.763
Tb 0.751 0.500 0.237
Tb 0.765 0.000 0.772
P 0.500 0.000 0.000
Pb 0.500 0.500 0.500
S 0.000 0.000 0.500
S 0.000 0.500 0.000

Results
The total DFT energy (no corrections) is -47.77 eV/cell. As for the density of states at the Fermi level: 2.66 states/eV/f.u. The uncorrected formation energy is -1.48 eV/atom.

13.
This record from Alexandria describes crystalline Li3LaCu at its relaxed geometry. The functional is GGA-PBE.

Cell: 4.795 4.795 4.795 Å, 90.00 90.00 90.00°
Positions (direct):
Li 0.000 0.000 0.500
Li 0.000 0.500 0.000
Li 0.500 0.000 0.000
La 0.500 0.500 0.500
Cu 0.000 0.000 0.000

Results
The total DFT energy (no corrections) is -13.77 eV/cell. Its energy relative to the elements is 0.20 eV per atom. As for the density of states at the Fermi level: 3.87 states/eV/f.u. Its excess energy over the best structure of this formula in the dataset is 0.000 eV/atom.